P:
Pa2BiOs after structural relaxation, computed with PBE-GGA.

```
data_Pa2BiOs
_space_group_name_H-M_alt 'R -3 m'
_space_group_IT_number 166
_space_group_name_Hall '-R 3 2"'
_cell_length_a 3.8344
_cell_length_b 3.8344
_cell_length_c 28.9439
_cell_angle_alpha 90.00
_cell_angle_beta 90.00
_cell_angle_gamma 120.00
loop_
_atom_site_label
_atom_site_type_symbol
_atom_site_fract_x
_atom_site_fract_y
_atom_site_fract_z
Pa1 Pa 0.0000 0.0000 0.1111
Bi1 Bi 0.0000 0.0000 0.0000
Os1 Os 0.0000 0.0000 0.5000
```

Q:
Pa2BiOs after structural relaxation, computed with PBE-GGA.

```
data_Pa2BiOs
_space_group_name_H-M_alt 'P 4/m m m'
_space_group_IT_number 123
_space_group_name_Hall '-P 4 2'
_cell_length_a 3.290
_cell_length_b 3.290
_cell_length_c 8.751
_cell_angle_alpha 90.00
_cell_angle_beta 90.00
_cell_angle_gamma 90.00
loop_
_atom_site_label
_atom_site_type_symbol
_atom_site_fract_x
_atom_site_fract_y
_atom_site_fract_z
Pa1 Pa 0.000 0.000 0.211
Bi1 Bi 0.500 0.500 0.500
Os1 Os 0.500 0.500 0.000
```

R:
Pa2BiOs after structural relaxation, computed with PBE-GGA.

```
data_Pa2BiOs
_space_group_name_H-M_alt 'P -3 m 1'
_space_group_IT_number 164
_space_group_name_Hall '-P 3 2"'
_cell_length_a 4.0610
_cell_length_b 4.0610
_cell_length_c 7.5739
_cell_angle_alpha 90.00
_cell_angle_beta 90.00
_cell_angle_gamma 120.00
loop_
_atom_site_label
_atom_site_type_symbol
_atom_site_fract_x
_atom_site_fract_y
_atom_site_fract_z
Pa1 Pa 0.3333 0.6667 0.3003
Bi1 Bi 0.0000 0.0000 0.0000
Os1 Os 0.0000 0.0000 0.5000
```

Comparing the structures above, Q comes out on top by 16 meV per atom.